A plane-wave DFT calculation with PBE-GGA was carried out for Na2Sr4Pt after structural relaxation.

Relative energy among the computed polymorphs ... 40 meV per atom
Formation energy from the elements ... -1.71 eV per formula unit
Fermi-level density of states ... 4.59 states/eV/cell

a = 10.331 Å, b = 10.331 Å, c = 10.331 Å
α = 146.74°, β = 146.74°, γ = 47.75°
Sites, in units of the cell vectors:
Na  0.137  0.137  0.000
Na  0.863  0.863  0.000
Sr  0.000  0.500  0.500
Sr  0.339  0.339  0.000
Sr  0.500  0.000  0.500
Sr  0.661  0.661  0.000
Pt  0.500  0.500  0.000